1.
A geometry-optimized Na2RuO3 structure, computed with PBEsol.

```
Na2RuO3
1.0
2.704 -4.680 0.000
2.704 4.680 0.000
-1.842 0.000 5.276
Na Ru O
4 2 6
Direct
0.000 0.000 0.000
0.159 0.841 0.500
0.500 0.500 0.500
0.841 0.159 0.500
0.333 0.667 0.000
0.667 0.333 0.000
0.070 0.439 0.203
0.298 0.298 0.794
0.439 0.070 0.203
0.561 0.930 0.797
0.702 0.702 0.206
0.930 0.561 0.797
```

Output
The space group is C2/m (12). Its formation energy without anion corrections is -767 kJ/mol of formula units. For the total energy, the calculation gives -6.111 eV per atom.

2.
A geometry-optimized NaRu2O4 structure, computed with PBEsol.

```
NaRu2O4
1.0
9.369 0.000 0.000
0.000 2.759 0.000
0.000 0.000 11.156
Na Ru O
4 8 16
Direct
0.241 0.250 0.156
0.259 0.750 0.656
0.741 0.250 0.344
0.759 0.750 0.844
0.060 0.250 0.383
0.085 0.250 0.894
0.415 0.750 0.394
0.440 0.750 0.883
0.560 0.250 0.117
0.585 0.250 0.606
0.915 0.750 0.106
0.940 0.750 0.617
0.027 0.750 0.777
0.086 0.250 0.562
0.110 0.750 0.027
0.210 0.750 0.340
0.290 0.250 0.840
0.390 0.250 0.527
0.414 0.750 0.062
0.473 0.250 0.277
0.527 0.750 0.723
0.586 0.250 0.938
0.610 0.750 0.473
0.710 0.750 0.160
0.790 0.250 0.660
0.890 0.250 0.973
0.914 0.750 0.438
0.973 0.250 0.223
```

Output
The space group is Pnma (62). Its formation energy without anion corrections is -770 kJ/mol of formula units. For the total energy, the calculation gives -7.246 eV per atom.

3.
A geometry-optimized Na2RuO3 structure, computed with PBEsol.

```
Na2RuO3
1.0
2.702 -4.681 0.000
2.702 4.681 0.000
-1.842 0.000 10.551
Na Ru O
8 4 12
Direct
0.000 0.500 0.500
0.085 0.915 0.750
0.159 0.319 0.000
0.319 0.159 0.500
0.500 0.000 0.000
0.681 0.841 0.500
0.841 0.681 0.000
0.915 0.085 0.250
0.249 0.751 0.250
0.418 0.582 0.750
0.582 0.418 0.250
0.751 0.249 0.750
0.050 0.248 0.647
0.120 0.580 0.852
0.248 0.050 0.147
0.319 0.489 0.351
0.420 0.880 0.648
0.489 0.319 0.851
0.511 0.681 0.149
0.580 0.120 0.352
0.681 0.511 0.649
0.752 0.950 0.853
0.880 0.420 0.148
0.950 0.752 0.353
```

Output
The space group is C2/c (15). Its formation energy without anion corrections is -767 kJ/mol of formula units. For the total energy, the calculation gives -6.111 eV per atom.

4.
A geometry-optimized NaRuO3 structure, computed with PBEsol.

```
NaRuO3
1.0
3.802 0.000 0.000
0.000 3.802 0.000
0.000 0.000 3.802
Na Ru O
1 1 3
Direct
0.000 0.000 0.000
0.500 0.500 0.500
0.000 0.500 0.500
0.500 0.000 0.500
0.500 0.500 0.000
```

Output
The space group is Pm-3m (221). Its formation energy without anion corrections is -570 kJ/mol of formula units. For the total energy, the calculation gives -6.646 eV per atom.

5.
A geometry-optimized Na2RuO4 structure, computed with PBEsol.

```
Na2RuO4
1.0
10.683 0.000 0.000
0.000 6.993 0.000
-5.349 0.000 9.483
Na Ru O
16 8 32
Direct
0.149 0.084 0.079
0.149 0.416 0.579
0.195 0.546 0.089
0.195 0.954 0.589
0.314 0.017 0.914
0.314 0.483 0.414
0.345 0.503 0.899
0.345 0.997 0.399
0.655 0.003 0.601
0.655 0.497 0.101
0.686 0.517 0.586
0.686 0.983 0.086
0.805 0.046 0.411
0.805 0.454 0.911
0.851 0.584 0.421
0.851 0.916 0.921
0.000 0.246 0.751
0.000 0.254 0.251
0.000 0.746 0.749
0.000 0.754 0.249
0.498 0.725 0.751
0.498 0.775 0.251
0.502 0.225 0.749
0.502 0.275 0.249
0.019 0.143 0.613
0.019 0.357 0.113
0.019 0.508 0.342
0.019 0.992 0.842
0.162 0.189 0.407
0.162 0.311 0.907
0.173 0.736 0.265
0.173 0.764 0.765
0.333 0.638 0.613
0.333 0.862 0.113
0.337 0.223 0.753
0.337 0.277 0.253
0.451 0.526 0.150
0.451 0.974 0.650
0.492 0.684 0.399
0.492 0.816 0.899
0.508 0.184 0.101
0.508 0.316 0.601
0.549 0.026 0.350
0.549 0.474 0.850
0.663 0.723 0.747
0.663 0.777 0.247
0.667 0.138 0.887
0.667 0.362 0.387
0.827 0.236 0.235
0.827 0.264 0.735
0.838 0.689 0.093
0.838 0.811 0.593
0.981 0.008 0.158
0.981 0.492 0.658
0.981 0.643 0.887
0.981 0.857 0.387
```

Output
The space group is P2_1/c (14). Its formation energy without anion corrections is -870 kJ/mol of formula units. For the total energy, the calculation gives -6.141 eV per atom.

6.
A geometry-optimized Na2S2O7 structure, computed with PBEsol.

```
Na2S2O7
1.0
6.778 0.000 0.000
0.779 6.802 0.000
3.117 0.431 6.128
Na S O
4 4 14
Direct
0.119 0.167 0.255
0.274 0.360 0.674
0.726 0.640 0.326
0.881 0.833 0.745
0.231 0.660 0.252
0.357 0.858 0.815
0.643 0.142 0.185
0.769 0.340 0.748
0.084 0.831 0.350
0.113 0.512 0.219
0.204 0.741 0.793
0.265 0.053 0.892
0.376 0.584 0.351
0.415 0.738 0.011
0.420 0.146 0.362
0.580 0.854 0.638
0.585 0.262 0.989
0.624 0.416 0.649
0.735 0.947 0.108
0.796 0.259 0.207
0.887 0.488 0.781
0.916 0.169 0.650
```

Output
The space group is P-1 (2). Its formation energy without anion corrections is -1755 kJ/mol of formula units. For the total energy, the calculation gives -6.046 eV per atom.

7.
A geometry-optimized Na2SO4 structure, computed with PBEsol.

```
Na2SO4
1.0
2.805 -4.469 0.000
2.805 4.469 0.000
0.000 0.000 6.945
Na S O
4 2 8
Direct
0.000 0.000 0.000
0.000 0.000 0.500
0.313 0.687 0.750
0.687 0.313 0.250
0.350 0.650 0.250
0.650 0.350 0.750
0.231 0.336 0.250
0.254 0.746 0.076
0.254 0.746 0.424
0.336 0.231 0.750
0.664 0.769 0.250
0.746 0.254 0.576
0.746 0.254 0.924
0.769 0.664 0.750
```

Output
The space group is Cmcm (63). Its formation energy without anion corrections is -1243 kJ/mol of formula units. For the total energy, the calculation gives -5.867 eV per atom. As for the excess energy over the best structure of this formula in the dataset: 3.4 meV per atom.

8.
A geometry-optimized Na2SO4 structure, computed with PBEsol.

```
Na2SO4
1.0
9.530 0.000 0.000
0.000 6.983 0.000
0.000 0.000 5.235
Na S O
8 4 16
Direct
0.000 0.000 0.000
0.000 0.500 0.000
0.145 0.250 0.486
0.355 0.750 0.986
0.500 0.000 0.500
0.500 0.500 0.500
0.645 0.250 0.014
0.855 0.750 0.514
0.178 0.750 0.491
0.322 0.250 0.991
0.678 0.750 0.009
0.822 0.250 0.509
0.121 0.577 0.365
0.121 0.923 0.365
0.137 0.750 0.765
0.165 0.250 0.966
0.335 0.750 0.466
0.363 0.250 0.265
0.379 0.077 0.865
0.379 0.423 0.865
0.621 0.577 0.135
0.621 0.923 0.135
0.637 0.750 0.735
0.665 0.250 0.534
0.835 0.750 0.034
0.863 0.250 0.235
0.879 0.077 0.635
0.879 0.423 0.635
```

Output
The space group is Pnma (62). Its formation energy without anion corrections is -1242 kJ/mol of formula units. For the total energy, the calculation gives -5.864 eV per atom. As for the excess energy over the best structure of this formula in the dataset: 5.8 meV per atom.

9.
A geometry-optimized Na2SO4 structure, computed with PBEsol.

```
Na2SO4
1.0
0.000 4.891 6.151
2.934 0.000 6.151
2.934 4.891 0.000
Na S O
4 2 8
Direct
0.060 0.690 0.060
0.310 0.940 0.310
0.690 0.060 0.690
0.940 0.310 0.940
0.375 0.375 0.375
0.625 0.625 0.625
0.207 0.680 0.363
0.250 0.363 0.680
0.320 0.793 0.750
0.363 0.250 0.207
0.637 0.750 0.793
0.680 0.207 0.250
0.750 0.637 0.320
0.793 0.320 0.637
```

Output
The space group is Fddd (70). Its formation energy without anion corrections is -1245 kJ/mol of formula units. For the total energy, the calculation gives -5.870 eV per atom. As for the excess energy over the best structure of this formula in the dataset: 0.0 meV per atom.

10.
A geometry-optimized NaSm9Si6S2O24 structure, computed with PBEsol.

```
NaSm9Si6S2O24
1.0
9.724 0.000 0.000
0.000 6.715 0.000
-9.717 0.000 16.850
Na Sm Si S O
2 18 12 4 48
Direct
0.000 0.244 0.000
0.000 0.756 0.500
0.002 0.242 0.501
0.002 0.758 0.001
0.084 0.006 0.211
0.084 0.994 0.711
0.099 0.500 0.342
0.099 0.500 0.842
0.318 0.498 0.707
0.318 0.502 0.207
0.339 0.004 0.959
0.339 0.996 0.459
0.580 0.002 0.831
0.580 0.998 0.331
0.588 0.497 0.952
0.588 0.503 0.452
0.666 0.249 0.667
0.666 0.751 0.167
0.670 0.254 0.167
0.670 0.746 0.667
0.302 0.497 0.527
0.302 0.503 0.027
0.365 0.001 0.146
0.365 0.999 0.646
0.710 0.003 0.537
0.710 0.997 0.037
0.753 0.498 0.350
0.753 0.502 0.850
0.928 0.000 0.318
0.928 0.000 0.818
0.949 0.495 0.625
0.949 0.505 0.125
0.328 0.242 0.829
0.328 0.758 0.329
0.341 0.250 0.338
0.341 0.750 0.838
0.013 0.004 0.413
0.013 0.996 0.913
0.063 0.296 0.649
0.063 0.704 0.149
0.077 0.324 0.165
0.077 0.676 0.665
0.175 0.003 0.593
0.175 0.997 0.093
0.201 0.498 0.573
0.201 0.502 0.073
0.238 0.297 0.470
0.238 0.703 0.970
0.256 0.322 0.963
0.256 0.678 0.463
0.436 0.195 0.206
0.436 0.805 0.706
0.442 0.197 0.703
0.442 0.803 0.203
0.465 0.009 0.097
0.465 0.991 0.597
0.492 0.499 0.590
0.492 0.501 0.090
0.592 0.193 0.012
0.592 0.807 0.512
0.593 0.199 0.517
0.593 0.801 0.017
0.675 0.318 0.874
0.675 0.682 0.374
0.689 0.498 0.255
0.689 0.502 0.755
0.700 0.301 0.382
0.700 0.699 0.882
0.731 0.002 0.269
0.731 0.998 0.769
0.808 0.004 0.135
0.808 0.996 0.635
0.816 0.008 0.495
0.816 0.992 0.995
0.822 0.496 0.656
0.822 0.504 0.156
0.857 0.498 0.528
0.857 0.502 0.028
0.947 0.496 0.400
0.947 0.504 0.900
0.971 0.197 0.781
0.971 0.803 0.281
0.973 0.195 0.281
0.973 0.805 0.781
```

Output
The space group is Pc (7). Its formation energy without anion corrections is -12794 kJ/mol of formula units. For the total energy, the calculation gives -8.311 eV per atom.

11.
A geometry-optimized NaSm9Si6S2O24 structure, computed with PBEsol.

```
NaSm9Si6S2O24
1.0
9.737 0.000 0.000
-4.869 8.433 0.000
0.000 0.000 6.707
Na Sm Si S O
1 9 6 2 24
Direct
0.000 0.000 0.000
0.000 0.000 0.514
0.083 0.661 0.758
0.098 0.414 0.253
0.315 0.902 0.253
0.339 0.422 0.758
0.578 0.917 0.758
0.586 0.685 0.253
0.667 0.333 0.010
0.667 0.333 0.506
0.301 0.248 0.258
0.364 0.073 0.755
0.709 0.636 0.755
0.752 0.053 0.258
0.927 0.291 0.755
0.947 0.699 0.258
0.333 0.667 0.502
0.333 0.667 0.995
0.010 0.184 0.750
0.064 0.762 0.455
0.072 0.747 0.074
0.175 0.990 0.750
0.200 0.055 0.260
0.238 0.302 0.455
0.253 0.326 0.074
0.436 0.029 0.953
0.439 0.028 0.561
0.464 0.270 0.757
0.490 0.311 0.259
0.589 0.561 0.561
0.593 0.564 0.953
0.674 0.928 0.074
0.689 0.179 0.259
0.698 0.936 0.455
0.730 0.194 0.757
0.806 0.536 0.757
0.816 0.825 0.750
0.821 0.510 0.259
0.855 0.800 0.260
0.945 0.145 0.260
0.971 0.407 0.953
0.972 0.411 0.561
```

Output
The space group is P3 (143). Its formation energy without anion corrections is -12792 kJ/mol of formula units. For the total energy, the calculation gives -8.311 eV per atom.

12.
A geometry-optimized Na2TiS2O structure, computed with PBEsol.

```
Na2TiS2O
1.0
6.826 0.000 0.000
0.000 13.550 0.000
-2.275 0.000 5.261
Na Ti S O
8 4 8 4
Direct
0.105 0.139 0.045
0.105 0.361 0.545
0.287 0.557 0.148
0.287 0.943 0.648
0.713 0.057 0.352
0.713 0.443 0.852
0.895 0.639 0.455
0.895 0.861 0.955
0.479 0.183 0.662
0.479 0.317 0.162
0.521 0.683 0.838
0.521 0.817 0.338
0.136 0.144 0.557
0.136 0.356 0.057
0.309 0.557 0.647
0.309 0.943 0.147
0.691 0.057 0.853
0.691 0.443 0.353
0.864 0.644 0.943
0.864 0.856 0.443
0.480 0.708 0.133
0.480 0.792 0.633
0.520 0.208 0.367
0.520 0.292 0.867
```

Output
The space group is P2_1/c (14). Its formation energy without anion corrections is -984 kJ/mol of formula units. For the total energy, the calculation gives -5.890 eV per atom.